Entry a
An optimized crystal structure of Nd4Se3N, computed with GGA-PBE.

Summary:
N(E_F) = 10.27 states/eV per cell
symmetry = Pmn2_1 (31)
total magnetization = 0.00 μB per formula unit

Cell: 5.857 8.381 9.616 Å, 90.00 90.00 90.00°
Fractional coordinates of all 16 atoms:
Nd 0.567 0.703 0.283
Nd 0.567 0.703 0.717
Nd 0.566 0.106 0.500
Nd 0.082 0.833 0.500
Nd 0.067 0.297 0.217
Nd 0.067 0.297 0.783
Nd 0.066 0.894 0.000
Nd 0.582 0.167 0.000
N 0.020 0.177 0.000
N 0.520 0.823 0.500
Se 0.072 0.172 0.500
Se 0.571 0.345 0.262
Se 0.572 0.828 0.000
Se 0.071 0.655 0.762
Se 0.071 0.655 0.238
Se 0.571 0.345 0.738

=====

Entry b
An optimized crystal structure of Nd4Se3N, computed with GGA-PBE.

Summary:
N(E_F) = 3.36 states/eV per cell
symmetry = Cmmm (65)
total magnetization = 0.00 μB per formula unit

Cell: 4.018 7.168 7.168 Å, 108.55 90.00 90.00°
Fractional coordinates of all 8 atoms:
Se 0.000 0.000 0.500
Se 0.000 0.500 0.000
Se 0.500 0.500 0.500
Nd 0.000 0.789 0.789
Nd 0.500 0.222 0.778
Nd 0.500 0.778 0.222
Nd 0.000 0.211 0.211
N 0.500 0.000 0.000

=====

Energies relative to the most stable structure, in meV/atom: entry a 168; entry b 0.

=====

Entry a
An optimized crystal structure of Nd3Se3N, computed with GGA-PBE.

Summary:
symmetry = Pnma (62)
total magnetization = 0.00 μB per formula unit

Cell: 4.134 12.919 13.573 Å, 90.00 90.00 90.00°
Fractional coordinates of all 28 atoms:
Nd 0.750 0.930 0.132
Nd 0.250 0.570 0.632
Nd 0.250 0.041 0.348
Nd 0.750 0.430 0.368
Nd 0.750 0.959 0.652
Nd 0.250 0.209 0.638
Nd 0.750 0.291 0.138
Nd 0.750 0.791 0.362
Nd 0.750 0.459 0.848
Nd 0.250 0.541 0.152
Nd 0.250 0.709 0.862
Nd 0.250 0.070 0.868
Se 0.750 0.226 0.809
Se 0.750 0.632 0.996
Se 0.250 0.368 0.004
Se 0.250 0.868 0.496
Se 0.250 0.092 0.108
Se 0.250 0.274 0.309
Se 0.750 0.908 0.892
Se 0.250 0.592 0.392
Se 0.250 0.774 0.191
Se 0.750 0.132 0.504
Se 0.750 0.408 0.608
Se 0.750 0.726 0.691
N 0.750 0.958 0.297
N 0.750 0.458 0.203
N 0.250 0.042 0.703
N 0.250 0.542 0.797

=====

Entry b
An optimized crystal structure of Nd3Se3N, computed with GGA-PBE.

Summary:
symmetry = C2/m (12)
total magnetization = 0.00 μB per formula unit

Cell: 7.468 7.468 7.348 Å, 96.33 96.33 113.00°
Fractional coordinates of all 14 atoms:
Se 0.165 0.835 0.500
Se 0.251 0.749 0.000
Se 0.749 0.251 0.000
Se 0.835 0.165 0.500
Se 0.613 0.613 0.355
Se 0.387 0.387 0.645
Nd 0.161 0.456 0.277
Nd 0.100 0.100 0.817
Nd 0.839 0.544 0.723
Nd 0.544 0.839 0.723
Nd 0.900 0.900 0.183
Nd 0.456 0.161 0.277
N 0.177 0.177 0.141
N 0.823 0.823 0.859

=====

Energies relative to the most stable structure, in meV/atom: entry a 0; entry b 64.

=====

Entry a
An optimized crystal structure of Nd5Se4N, computed with GGA-PBE.

Summary:
N(E_F) = 5.52 states/eV per cell
symmetry = I4/m (87)
total magnetization = 0.00 μB per formula unit

Cell: 5.867 7.154 7.154 Å, 80.32 65.79 65.79°
Fractional coordinates of all 10 atoms:
Nd 0.260 0.832 0.650
Nd 0.742 0.168 0.350
Nd 0.910 0.350 0.832
Nd 0.092 0.650 0.168
Nd 0.501 0.000 0.000
Se 0.194 0.216 0.398
Se 0.410 0.398 0.784
Se 0.808 0.784 0.602
Se 0.592 0.602 0.216
N 0.001 0.000 0.000

=====

Entry b
An optimized crystal structure of Nd5Se4N, computed with GGA-PBE.

Summary:
N(E_F) = 3.62 states/eV per cell
symmetry = I4/mmm (139)
total magnetization = 0.00 μB per formula unit

Cell: 4.126 4.126 15.076 Å, 97.87 97.87 90.00°
Fractional coordinates of all 10 atoms:
Nd 0.295 0.295 0.591
Nd 0.500 0.500 0.000
Nd 0.919 0.919 0.839
Nd 0.081 0.081 0.161
Nd 0.705 0.705 0.409
Se 0.400 0.400 0.800
Se 0.193 0.193 0.386
Se 0.600 0.600 0.200
Se 0.807 0.807 0.614
N 0.000 0.000 0.000

=====

Energies relative to the most stable structure, in meV/atom: entry a 0; entry b 10.